No. 1
VASP calculation (PBE-GGA) on crystalline BaPtRh at its relaxed geometry.

Values from the calculation:
Energy above the most stable polymorph in this dataset   1154.8 meV per atom
SG   F-43m (216)
Energy of formation from the pure elements   699.1 meV/atom

Lattice parameters (Å, degrees): 6.847 6.847 6.847 90.00 90.00 90.00
Sites, in units of the cell vectors:
Ba  0.000  0.000  0.000
Ba  0.000  0.500  0.500
Ba  0.500  0.000  0.500
Ba  0.500  0.500  0.000
Pt  0.250  0.250  0.250
Pt  0.250  0.750  0.750
Pt  0.750  0.250  0.750
Pt  0.750  0.750  0.250
Rh  0.250  0.250  0.750
Rh  0.250  0.750  0.250
Rh  0.750  0.250  0.250
Rh  0.750  0.750  0.750


No. 2
VASP calculation (PBE-GGA) on crystalline Cd2MoP at its relaxed geometry.

Values from the calculation:
SG   R3m (160)
Energy of formation from the pure elements   32.1 meV/atom

Lattice parameters (Å, degrees): 3.097 3.097 27.569 90.00 90.00 120.00
Sites, in units of the cell vectors:
Cd  0.000  0.000  0.000
Cd  0.000  0.000  0.235
Cd  0.333  0.667  0.667
Cd  0.333  0.667  0.902
Cd  0.667  0.333  0.333
Cd  0.667  0.333  0.568
Mo  0.000  0.000  0.754
Mo  0.333  0.667  0.421
Mo  0.667  0.333  0.087
P  0.000  0.000  0.478
P  0.333  0.667  0.145
P  0.667  0.333  0.811


No. 3
VASP calculation (PBE-GGA) on crystalline Ti2PtI8 at its relaxed geometry.

Values from the calculation:
SG   C2/m (12)
Uncorrected formation energy   -0.523 eV per atom

Lattice parameters (Å, degrees): 9.472 9.472 7.876 110.40 110.40 60.07
Sites, in units of the cell vectors:
Ti  0.185  0.185  0.273
Ti  0.815  0.815  0.727
Pt  0.000  0.000  0.000
I  0.091  0.659  0.944
I  0.146  0.146  0.556
I  0.341  0.909  0.056
I  0.357  0.357  0.386
I  0.643  0.643  0.614
I  0.659  0.091  0.944
I  0.854  0.854  0.444
I  0.909  0.341  0.056


No. 4
VASP calculation (PBE-GGA) on crystalline KCuNi2 at its relaxed geometry.

Values from the calculation:
Energy above the most stable polymorph in this dataset   366.8 meV per atom
SG   R-3m (166)
Energy of formation from the pure elements   663.9 meV/atom

Lattice parameters (Å, degrees): 2.706 2.706 28.012 90.00 90.00 120.00
Sites, in units of the cell vectors:
K  0.000  0.000  0.000
K  0.333  0.667  0.667
K  0.667  0.333  0.333
Cu  0.000  0.000  0.500
Cu  0.333  0.667  0.167
Cu  0.667  0.333  0.833
Ni  0.000  0.000  0.237
Ni  0.000  0.000  0.763
Ni  0.333  0.667  0.430
Ni  0.333  0.667  0.903
Ni  0.667  0.333  0.097
Ni  0.667  0.333  0.570


No. 5
VASP calculation (PBE-GGA) on crystalline KRbCd2Pd at its relaxed geometry.

Values from the calculation:
Energy above the most stable polymorph in this dataset   39.5 meV per atom
SG   P4/mmm (123)
Energy of formation from the pure elements   -57.8 meV/atom

Lattice parameters (Å, degrees): 5.420 5.420 6.118 90.00 90.00 90.00
Sites, in units of the cell vectors:
K  0.000  0.000  0.000
Rb  0.500  0.500  0.000
Cd  0.000  0.500  0.500
Cd  0.500  0.000  0.500
Pd  0.500  0.500  0.500


No. 6
VASP calculation (PBE-GGA) on crystalline Zn3NiSe at its relaxed geometry.

Values from the calculation:
Energy above the most stable polymorph in this dataset   0.0 meV per atom
SG   Pm-3m (221)
Uncorrected formation energy   0.253 eV per atom

Lattice parameters (Å, degrees): 4.588 4.588 4.588 90.00 90.00 90.00
Sites, in units of the cell vectors:
Zn  0.000  0.000  0.500
Zn  0.000  0.500  0.000
Zn  0.500  0.000  0.000
Ni  0.000  0.000  0.000
Se  0.500  0.500  0.500


| no. | DOS(E_F) (states/eV/cell) |
| --- | --- |
| 1 | 19.13 |
| 2 | 8.51 |
| 3 | 6.46 |
| 4 | 13.25 |
| 5 | 3.23 |
| 6 | 2.62 |